Below is an optimized crystal structure of Pm4Ga2Fe, with properties calculated at the GGA-PBE level.

DFT formation energy in meV per atom: -86
V in Å³ per cell: 388
Calculated density in g/cm3: 6.64

Unit cell a=5.017 b=5.017 c=15.413 alpha=90.00 beta=90.00 gamma=90.00
Space group I4/mmm (No. 139)
Symmetry-distinct sites (fractional):
Pm (0.000, 0.000, 0.181) (multiplicity 4)
Pm (0.000, 0.500, 0.000) (multiplicity 4)
Ga (0.000, 0.000, 0.372) (multiplicity 4)
Fe (0.000, 0.000, 0.000) (multiplicity 2)